(1)
Computed, not measured: an optimized crystal structure of Hf2FePd9 at the PBE level of DFT.

Geometry as extended XYZ:
```
12
Lattice="3.981 0.000 0.000 0.000 3.981 0.000 0.000 0.000 11.887" Properties=species:S:1:pos:R:3 pbc="T T T"
Hf 0.000 0.000 2.049
Hf 0.000 0.000 9.837
Fe 0.000 0.000 5.943
Pd 0.000 1.991 0.000
Pd 0.000 1.991 4.016
Pd 0.000 1.991 7.871
Pd 1.991 0.000 0.000
Pd 1.991 0.000 4.016
Pd 1.991 0.000 7.871
Pd 1.991 1.991 2.000
Pd 1.991 1.991 5.943
Pd 1.991 1.991 9.886
```

## Properties
V: 15.70 Å³ per atom
spin magnetization: 4.6 Bohr magnetons per cell
formation energy: -0.624 eV/atom
SG: P4/mmm (123)

---

(2)
Computed, not measured: an optimized crystal structure of Hf6Fe2Pd at the PBE level of DFT.

Geometry as extended XYZ:
```
18
Lattice="-4.291 4.307 4.599 4.291 -4.307 4.599 4.291 4.307 -4.599" Properties=species:S:1:pos:R:3 pbc="T T T"
Hf 4.291 -2.672 2.980
Hf 2.602 0.000 2.245
Hf 5.981 0.000 2.245
Hf 2.669 2.383 0.000
Hf 5.914 2.383 0.000
Hf 0.000 1.634 1.619
Hf 4.291 2.672 2.980
Hf -1.623 1.923 4.599
Hf 1.623 1.923 4.599
Hf -1.689 4.307 2.354
Hf 1.689 4.307 2.354
Hf 0.000 6.979 1.619
Fe 1.407 0.000 0.000
Fe 7.176 0.000 0.000
Fe 0.000 0.000 3.535
Fe 0.000 0.000 5.663
Pd 4.291 0.000 0.000
Pd 0.000 4.307 0.000
```

## Properties
V: 18.89 Å³ per atom
spin magnetization: 0.0 Bohr magnetons per cell
formation energy: -0.274 eV/atom
SG: Immm (71)

---

(3)
Computed, not measured: an optimized crystal structure of Hf8Fe2Pd at the PBE level of DFT.

Geometry as extended XYZ:
```
11
Lattice="6.794 -2.881 0.000 6.794 2.881 0.000 -0.005 0.000 5.535" Properties=species:S:1:pos:R:3 pbc="T T T"
Hf 1.225 0.000 2.007
Hf 5.304 1.454 0.813
Hf 3.956 0.000 3.418
Hf 8.279 1.454 4.722
Hf 5.304 -1.454 0.813
Hf 9.628 0.000 2.117
Hf 8.279 -1.454 4.722
Hf 12.358 0.000 3.528
Fe 3.202 0.000 0.588
Fe 10.381 0.000 4.947
Pd 6.792 0.000 2.767
```

## Properties
V: 19.70 Å³ per atom
spin magnetization: 0.0 Bohr magnetons per cell
formation energy: -0.128 eV/atom
SG: C2/m (12)

---

(4)
Computed, not measured: an optimized crystal structure of Hf6FePd at the PBE level of DFT.

Geometry as extended XYZ:
```
16
Lattice="5.993 0.000 0.000 0.000 10.592 0.000 -2.782 0.000 5.277" Properties=species:S:1:pos:R:3 pbc="T T T"
Hf 0.687 0.000 1.387
Hf -0.636 2.144 3.917
Hf -0.636 8.448 3.917
Hf 0.850 3.152 1.361
Hf 0.850 7.440 1.361
Hf -0.473 5.296 3.890
Hf 3.684 5.296 1.387
Hf 2.361 3.152 3.917
Hf 2.361 7.440 3.917
Hf 3.847 2.144 1.361
Hf 3.847 8.448 1.361
Hf 2.524 0.000 3.890
Fe -1.391 0.000 2.639
Fe 1.605 5.296 2.639
Pd 0.000 5.296 0.000
Pd 2.996 0.000 0.000
```

## Properties
V: 20.94 Å³ per atom
spin magnetization: 0.0 Bohr magnetons per cell
formation energy: 0.153 eV/atom
SG: C2/m (12)

---

(5)
Computed, not measured: an optimized crystal structure of HfFePd4 at the PBE level of DFT.

Geometry as extended XYZ:
```
6
Lattice="3.345 0.000 0.000 0.000 3.345 0.000 0.000 0.000 8.550" Properties=species:S:1:pos:R:3 pbc="T T T"
Hf 0.000 0.000 0.000
Fe 1.673 1.673 4.275
Pd 0.000 0.000 2.936
Pd 0.000 0.000 5.613
Pd 1.673 1.673 1.429
Pd 1.673 1.673 7.120
```

## Properties
V: 15.95 Å³ per atom
spin magnetization: 3.4 Bohr magnetons per cell
formation energy: -0.417 eV/atom
SG: P4/mmm (123)

---

(6)
Computed, not measured: an optimized crystal structure of Hf6FePd2 at the PBE level of DFT.

Geometry as extended XYZ:
```
18
Lattice="5.480 0.000 0.000 0.000 7.116 0.000 -5.318 0.000 9.067" Properties=species:S:1:pos:R:3 pbc="T T T"
Hf -0.828 0.363 2.271
Hf -3.487 3.195 6.804
Hf 0.789 5.107 0.479
Hf -1.870 5.567 5.013
Hf 1.894 1.115 0.329
Hf -0.765 2.443 4.862
Hf 0.927 4.673 4.205
Hf -1.732 6.001 8.738
Hf 2.032 1.549 4.054
Hf -0.627 2.009 8.588
Hf 3.649 3.921 2.263
Hf 0.990 6.753 6.797
Fe 0.081 0.000 4.534
Fe 2.740 3.558 0.000
Pd -1.929 0.682 6.552
Pd 0.730 2.876 2.018
Pd -0.568 4.240 7.049
Pd 2.091 6.434 2.515
```

## Properties
V: 19.64 Å³ per atom
spin magnetization: 0.0 Bohr magnetons per cell
formation energy: -0.268 eV/atom
SG: P2_1/c (14)

---

(7)
Computed, not measured: an optimized crystal structure of Hf3FePd12 at the PBE level of DFT.

Geometry as extended XYZ:
```
16
Lattice="3.988 0.000 0.000 0.000 3.988 0.000 0.000 0.000 15.907" Properties=species:S:1:pos:R:3 pbc="T T T"
Hf 0.000 0.000 0.000
Hf 0.000 0.000 4.082
Hf 0.000 0.000 11.825
Fe 0.000 0.000 7.953
Pd 0.000 1.994 2.003
Pd 0.000 1.994 6.025
Pd 0.000 1.994 9.882
Pd 0.000 1.994 13.903
Pd 1.994 0.000 2.003
Pd 1.994 0.000 6.025
Pd 1.994 0.000 9.882
Pd 1.994 0.000 13.903
Pd 1.994 1.994 0.000
Pd 1.994 1.994 4.005
Pd 1.994 1.994 7.953
Pd 1.994 1.994 11.901
```

## Properties
V: 15.82 Å³ per atom
spin magnetization: 4.6 Bohr magnetons per cell
formation energy: -0.690 eV/atom
SG: P4/mmm (123)

---

(8)
Computed, not measured: an optimized crystal structure of HfFe2Pd9 at the PBE level of DFT.

Geometry as extended XYZ:
```
12
Lattice="3.946 0.000 0.000 0.000 3.946 0.000 0.000 0.000 11.757" Properties=species:S:1:pos:R:3 pbc="T T T"
Hf 0.000 0.000 0.000
Fe 0.000 0.000 3.985
Fe 0.000 0.000 7.772
Pd 0.000 1.973 2.020
Pd 0.000 1.973 5.879
Pd 0.000 1.973 9.737
Pd 1.973 0.000 2.020
Pd 1.973 0.000 5.879
Pd 1.973 0.000 9.737
Pd 1.973 1.973 0.000
Pd 1.973 1.973 3.949
Pd 1.973 1.973 7.808
```

## Properties
V: 15.26 Å³ per atom
spin magnetization: 8.8 Bohr magnetons per cell
formation energy: -0.352 eV/atom
SG: P4/mmm (123)

---

(9)
Computed, not measured: an optimized crystal structure of HfFePd2 at the PBE level of DFT.

Geometry as extended XYZ:
```
4
Lattice="3.934 0.000 0.000 0.000 3.934 0.000 0.000 0.000 3.981" Properties=species:S:1:pos:R:3 pbc="T T T"
Hf 0.000 0.000 0.000
Fe 1.967 1.967 0.000
Pd 0.000 1.967 1.990
Pd 1.967 0.000 1.990
```

## Properties
V: 15.40 Å³ per atom
spin magnetization: 1.7 Bohr magnetons per cell
formation energy: -0.517 eV/atom
SG: P4/mmm (123)

---

(10)
Computed, not measured: an optimized crystal structure of HfFePd2 at the PBE level of DFT.

Geometry as extended XYZ:
```
16
Lattice="3.872 0.000 0.000 0.000 3.872 0.000 0.000 0.000 18.086" Properties=species:S:1:pos:R:3 pbc="T T T"
Hf 0.000 0.000 0.000
Hf 0.000 1.936 4.521
Hf 1.936 0.000 13.564
Hf 1.936 1.936 9.043
Fe 0.000 0.000 9.043
Fe 0.000 1.936 13.564
Fe 1.936 0.000 4.521
Fe 1.936 1.936 0.000
Pd 0.923 0.968 11.304
Pd 0.968 2.859 15.825
Pd 0.968 2.949 6.782
Pd 1.013 0.968 2.261
Pd 2.859 2.904 2.261
Pd 2.904 0.923 6.782
Pd 2.904 1.013 15.825
Pd 2.949 2.904 11.304
```

## Properties
V: 16.94 Å³ per atom
spin magnetization: 8.5 Bohr magnetons per cell
formation energy: -0.046 eV/atom
SG: I-42d (122)

---

(11)
Computed, not measured: an optimized crystal structure of Hf8FePd2 at the PBE level of DFT.

Geometry as extended XYZ:
```
11
Lattice="7.741 -2.368 0.000 7.741 2.368 0.000 -0.978 0.000 6.024" Properties=species:S:1:pos:R:3 pbc="T T T"
Hf 0.157 0.000 1.526
Hf 2.151 0.000 4.858
Hf 4.776 0.000 3.274
Hf 6.321 0.000 0.395
Hf 8.183 0.000 5.629
Hf 9.727 0.000 2.750
Hf 12.353 0.000 1.165
Hf 14.347 0.000 4.498
Fe 7.252 0.000 3.012
Pd 2.901 0.000 1.423
Pd 11.603 0.000 4.601
```

## Properties
V: 20.07 Å³ per atom
spin magnetization: 0.0 Bohr magnetons per cell
formation energy: -0.217 eV/atom
SG: C2/m (12)

---

(12)
Computed, not measured: an optimized crystal structure of HfFe2Pd8 at the PBE level of DFT.

Geometry as extended XYZ:
```
11
Lattice="7.018 -1.996 0.000 7.018 1.996 0.000 -1.827 0.000 5.989" Properties=species:S:1:pos:R:3 pbc="T T T"
Hf 0.000 0.000 0.000
Fe 3.227 0.000 2.113
Fe 8.982 0.000 3.875
Pd 0.584 0.000 2.756
Pd 0.883 0.000 5.499
Pd 3.541 0.000 4.803
Pd 5.895 0.000 1.626
Pd 6.314 0.000 4.363
Pd 8.667 0.000 1.186
Pd 11.326 0.000 0.490
Pd 11.625 0.000 3.233
```

## Properties
V: 15.25 Å³ per atom
spin magnetization: 7.1 Bohr magnetons per cell
formation energy: -0.344 eV/atom
SG: C2/m (12)

---

(13)
Computed, not measured: an optimized crystal structure of HfFe4Pd at the PBE level of DFT.

Geometry as extended XYZ:
```
6
Lattice="0.000 3.439 3.439 3.439 0.000 3.439 3.439 3.439 0.000" Properties=species:S:1:pos:R:3 pbc="T T T"
Hf 0.000 0.000 0.000
Fe 4.304 2.575 2.575
Fe 2.575 4.304 2.575
Fe 2.575 2.575 4.304
Fe 4.304 4.304 4.304
Pd 1.720 1.720 1.720
```

## Properties
V: 13.56 Å³ per atom
spin magnetization: 8.7 Bohr magnetons per cell
formation energy: -0.222 eV/atom
SG: F-43m (216)

---

(14)
Computed, not measured: an optimized crystal structure of Hf4Fe3Pd at the PBE level of DFT.

Geometry as extended XYZ:
```
8
Lattice="3.191 0.000 0.000 0.000 4.550 0.000 0.000 0.000 8.962" Properties=species:S:1:pos:R:3 pbc="T T T"
Hf 0.000 0.000 0.000
Hf 0.000 0.000 4.481
Hf 0.000 2.275 2.121
Hf 0.000 2.275 6.841
Fe 1.595 0.000 2.235
Fe 1.595 0.000 6.727
Fe 1.595 2.275 0.000
Pd 1.595 2.275 4.481
```

## Properties
V: 16.26 Å³ per atom
spin magnetization: 1.3 Bohr magnetons per cell
formation energy: -0.364 eV/atom
SG: Pmmm (47)

---

(15)
Computed, not measured: an optimized crystal structure of Hf2Fe2Pd at the PBE level of DFT.

Geometry as extended XYZ:
```
10
Lattice="6.749 0.000 0.000 0.000 6.749 0.000 0.000 0.000 3.490" Properties=species:S:1:pos:R:3 pbc="T T T"
Hf 1.229 2.145 0.000
Hf 2.145 5.519 0.000
Hf 4.603 1.229 0.000
Hf 5.519 4.603 0.000
Fe 0.773 4.147 1.745
Fe 2.601 0.773 1.745
Fe 4.147 5.975 1.745
Fe 5.975 2.601 1.745
Pd 0.000 0.000 1.745
Pd 3.374 3.374 1.745
```

## Properties
V: 15.90 Å³ per atom
spin magnetization: 3.6 Bohr magnetons per cell
formation energy: -0.305 eV/atom
SG: P4/mbm (127)

---

(16)
Computed, not measured: an optimized crystal structure of HfFe2Pd2 at the PBE level of DFT.

Geometry as extended XYZ:
```
10
Lattice="7.317 0.000 0.000 0.000 7.317 0.000 0.000 0.000 2.850" Properties=species:S:1:pos:R:3 pbc="T T T"
Hf 0.000 0.000 0.000
Hf 3.659 3.659 0.000
Fe 0.846 2.813 0.000
Fe 2.813 6.471 0.000
Fe 4.504 0.846 0.000
Fe 6.471 4.504 0.000
Pd 1.309 4.967 1.425
Pd 2.350 1.309 1.425
Pd 4.967 6.008 1.425
Pd 6.008 2.350 1.425
```

## Properties
V: 15.26 Å³ per atom
spin magnetization: 10.5 Bohr magnetons per cell
formation energy: -0.091 eV/atom
SG: P4/mbm (127)

---

(17)
Computed, not measured: an optimized crystal structure of HfFePd at the PBE level of DFT.

Geometry as extended XYZ:
```
12
Lattice="3.193 0.000 0.000 0.000 3.193 0.000 0.000 0.000 20.199" Properties=species:S:1:pos:R:3 pbc="T T T"
Hf 0.000 0.000 2.827
Hf 0.000 0.000 17.371
Hf 1.596 1.596 7.272
Hf 1.596 1.596 12.927
Fe 0.000 0.000 5.681
Fe 0.000 0.000 14.518
Fe 1.596 1.596 4.419
Fe 1.596 1.596 15.780
Pd 0.000 0.000 8.791
Pd 0.000 0.000 11.408
Pd 1.596 1.596 1.309
Pd 1.596 1.596 18.890
```

## Properties
V: 17.16 Å³ per atom
spin magnetization: 8.0 Bohr magnetons per cell
formation energy: -0.316 eV/atom
SG: I4/mmm (139)

---

(18)
Computed, not measured: an optimized crystal structure of PuHfFePd at the PBE level of DFT.

Geometry as extended XYZ:
```
16
Lattice="6.686 0.000 0.000 0.000 6.686 0.000 0.000 0.000 6.686" Properties=species:S:1:pos:R:3 pbc="T T T"
Pu 0.000 0.000 0.000
Pu 0.000 3.343 3.343
Pu 3.343 0.000 3.343
Pu 3.343 3.343 0.000
Hf 0.000 0.000 3.343
Hf 0.000 3.343 0.000
Hf 3.343 0.000 0.000
Hf 3.343 3.343 3.343
Fe 1.672 1.672 5.015
Fe 1.672 5.015 1.672
Fe 5.015 1.672 1.672
Fe 5.015 5.015 5.015
Pd 1.672 1.672 1.672
Pd 1.672 5.015 5.015
Pd 5.015 1.672 5.015
Pd 5.015 5.015 1.672
```

## Properties
V: 18.68 Å³ per atom
spin magnetization: 15.4 Bohr magnetons per cell
formation energy: -0.151 eV/atom
SG: F-43m (216)

---

(19)
Computed, not measured: an optimized crystal structure of RbHfFe2Pd at the PBE level of DFT.

Geometry as extended XYZ:
```
5
Lattice="5.017 0.000 0.000 0.000 5.017 0.000 0.000 0.000 4.948" Properties=species:S:1:pos:R:3 pbc="T T T"
Rb 0.000 0.000 0.000
Hf 2.508 2.508 0.000
Fe 0.000 2.508 2.474
Fe 2.508 0.000 2.474
Pd 2.508 2.508 2.474
```

## Properties
V: 24.91 Å³ per atom
spin magnetization: 6.0 Bohr magnetons per cell
formation energy: 1.027 eV/atom
SG: P4/mmm (123)

---

(20)
Computed, not measured: an optimized crystal structure of HfFePd2Rh at the PBE level of DFT.

Geometry as extended XYZ:
```
5
Lattice="4.816 0.000 0.000 0.000 4.816 0.000 0.000 0.000 4.369" Properties=species:S:1:pos:R:3 pbc="T T T"
Hf 0.000 0.000 0.000
Fe 2.408 2.408 0.000
Pd 0.000 2.408 2.185
Pd 2.408 0.000 2.185
Rh 2.408 2.408 2.185
```

## Properties
V: 20.27 Å³ per atom
spin magnetization: 3.1 Bohr magnetons per cell
formation energy: 0.907 eV/atom
SG: P4/mmm (123)

---

| no. | density of states at the Fermi level (states/eV/atom) |
| --- | --- |
| 1 | 0.300 |
| 2 | 0.852 |
| 3 | 1.134 |
| 4 | 1.163 |
| 5 | 0.447 |
| 6 | 0.742 |
| 7 | 0.215 |
| 8 | 0.565 |
| 9 | 0.620 |
| 10 | 0.793 |
| 11 | 0.642 |
| 12 | 0.637 |
| 13 | 1.124 |
| 14 | 0.750 |
| 15 | 1.334 |
| 16 | 0.822 |
| 17 | 0.613 |
| 18 | 2.072 |
| 19 | 1.246 |
| 20 | 1.110 |